No. 1
First-principles (PBE with a Hubbard U) data for a relaxed NiRhF2 crystal, as listed in the Alexandria database.

Results
V = 12.49 Å³ per atom
excess energy over the best structure of this formula in the dataset = 0.19 eV/f.u.
Fermi-level density of states = 0.546 states/eV per atom

abc: 7.698 7.698 7.698
angles: 20.71 20.71 20.71
Site moments in Bohr magnetons follow the coordinates.
Atoms (fractional coordinates):
Rh (0.500, 0.500, 0.500)  1.85
Ni (0.000, 0.000, 0.000)  1.02
F (0.916, 0.916, 0.916)  0.07
F (0.084, 0.084, 0.084)  0.07

No. 2
First-principles (PBE with a Hubbard U) data for a relaxed NiRh2F crystal, as listed in the Alexandria database.

Results
V = 12.87 Å³ per atom
excess energy over the best structure of this formula in the dataset = 0.00 eV/f.u.
Fermi-level density of states = 1.125 states/eV per atom

abc: 4.176 4.176 4.176
angles: 60.00 60.00 60.00
Site moments in Bohr magnetons follow the coordinates.
Atoms (fractional coordinates):
Rh (0.750, 0.750, 0.750)  1.32
F (0.000, 0.000, 0.000)  0.12
Ni (0.500, 0.500, 0.500)  1.37
Rh (0.250, 0.250, 0.250)  1.32

No. 3
First-principles (PBE with a Hubbard U) data for a relaxed Tl2Ni3RhF12 crystal, as listed in the Alexandria database.

Results
V = 15.72 Å³ per atom
DFT total energy = -4.26 eV per atom
Fermi-level density of states = 0.615 states/eV per atom

abc: 7.471 7.471 7.471
angles: 58.24 58.24 58.24
Site moments in Bohr magnetons follow the coordinates.
Atoms (fractional coordinates):
F (0.682, 0.074, 0.074)  0.06
F (0.325, 0.921, 0.325)  0.04
F (0.318, 0.926, 0.926)  0.06
Ni (0.000, 0.500, 0.000)  1.81
Rh (0.000, 0.000, 0.000)  0.65
Tl (0.600, 0.600, 0.600)  0.00
F (0.079, 0.675, 0.675)  0.04
F (0.926, 0.926, 0.318)  0.06
F (0.325, 0.325, 0.921)  0.04
Tl (0.400, 0.400, 0.400)  0.00
F (0.675, 0.675, 0.079)  0.04
F (0.675, 0.079, 0.675)  0.04
Ni (0.500, 0.000, 0.000)  1.81
F (0.074, 0.682, 0.074)  0.06
F (0.926, 0.318, 0.926)  0.06
F (0.074, 0.074, 0.682)  0.06
Ni (0.000, 0.000, 0.500)  1.81
F (0.921, 0.325, 0.325)  0.04

No. 4
First-principles (PBE with a Hubbard U) data for a relaxed Tl2NiRhF6 crystal, as listed in the Alexandria database.

Results
V = 15.35 Å³ per atom
DFT total energy = -4.27 eV per atom

abc: 5.878 5.878 8.888
angles: 90.00 90.00 90.00
Site moments in Bohr magnetons follow the coordinates.
Atoms (fractional coordinates):
F (0.749, 0.001, 0.000)  0.01
F (0.251, 0.499, 0.000)  0.01
F (0.500, 0.250, 0.225)  0.05
F (0.751, 0.501, 0.500)  0.01
F (0.249, 0.501, 0.500)  0.01
F (0.249, 0.999, 0.500)  0.01
Ni (0.000, 0.750, 0.500)  1.84
Ni (0.500, 0.250, 0.000)  1.84
Tl (0.000, 0.250, 0.750)  0.00
Tl (0.000, 0.250, 0.250)  0.00
F (0.500, 0.250, 0.775)  0.05
F (0.251, 0.001, 0.000)  0.01
Rh (0.000, 0.750, 0.000)  0.73
F (0.749, 0.499, 0.000)  0.01
Tl (0.500, 0.750, 0.250)  0.00
F (0.000, 0.750, 0.725)  0.05
Rh (0.500, 0.250, 0.500)  0.73
F (0.000, 0.750, 0.275)  0.05
Tl (0.500, 0.750, 0.750)  0.00
F (0.751, 0.999, 0.500)  0.01